! NbGaSe2N (PBE-GGA, optimized geometry); values from VASP
! Formation energy from raw total energies = -8 kJ per mole of atoms
! DOS(E_F) = 4.67 states/eV/cell
! Uncorrected energy = -28.79 eV for the cell shown
&SYSTEM
  ibrav = 0, nat = 5, ntyp = 4
/
ATOMIC_SPECIES
Ga 69.72 Ga.upf
Se 78.96 Se.upf
N 14.01 N.upf
Nb 92.91 Nb.upf
CELL_PARAMETERS angstrom
5.2311 0.0000 0.0000
0.0000 5.2311 0.0000
0.0000 0.0000 3.9311
ATOMIC_POSITIONS angstrom
Ga 2.6155 2.6155 1.9656
Se 2.6155 0.0000 0.0000
N 0.0000 0.0000 1.9656
Nb 0.0000 0.0000 0.0000
Se 0.0000 2.6155 0.0000

! Dy4TeCSe2 (PBE-GGA, optimized geometry); values from VASP
! Formation energy from raw total energies = -125 kJ per mole of atoms
! DOS(E_F) = 2.65 states/eV/cell
! Uncorrected energy = -48.11 eV for the cell shown
&SYSTEM
  ibrav = 0, nat = 8, ntyp = 4
/
ATOMIC_SPECIES
Se 78.96 Se.upf
Dy 162.50 Dy.upf
Te 127.60 Te.upf
C 12.01 C.upf
CELL_PARAMETERS angstrom
3.9695 0.0000 0.0000
0.0000 6.9783 -0.0999
0.0000 2.5023 6.8158
ATOMIC_POSITIONS angstrom
Se 1.9848 1.2511 3.4079
Dy 3.9695 2.6351 2.0011
Te 1.9848 3.4892 -0.0500
Dy 0.0001 6.8455 4.7148
C 0.0000 4.7403 3.3580
Se 0.0000 2.5023 6.8158
Dy 1.9848 5.7343 1.9299
Dy 1.9848 3.7463 4.7860

! DyYNiPt (PBE-GGA, optimized geometry); values from VASP
! ΔH_f (0 K) = -0.799 eV per atom
! DOS(E_F) = 3.86 states/eV/cell
! Uncorrected energy = -26.08 eV for the cell shown
&SYSTEM
  ibrav = 0, nat = 4, ntyp = 4
/
ATOMIC_SPECIES
Dy 162.50 Dy.upf
Pt 195.08 Pt.upf
Y 88.91 Y.upf
Ni 58.69 Ni.upf
CELL_PARAMETERS angstrom
-1.8166 0.9999 4.4193
-3.5393 -2.7920 1.8730
0.9594 -2.9611 3.7605
ATOMIC_POSITIONS angstrom
Dy 0.0000 0.0000 0.0000
Pt -3.2974 -3.5649 7.5396
Y -2.1982 -2.3766 5.0264
Ni -1.0991 -1.1883 2.5132

! SmY8Sc4 (PBE-GGA, optimized geometry); values from VASP
! ΔH_f (0 K) = 0.255 eV per atom
! DOS(E_F) = 18.07 states/eV/cell
! Uncorrected energy = -78.44 eV for the cell shown
&SYSTEM
  ibrav = 0, nat = 13, ntyp = 3
/
ATOMIC_SPECIES
Sc 44.96 Sc.upf
Y 88.91 Y.upf
Sm 150.36 Sm.upf
CELL_PARAMETERS angstrom
6.2738 -0.0004 -3.3847
-4.0498 5.8665 -0.0005
1.1898 0.8221 9.7121
ATOMIC_POSITIONS angstrom
Sc 1.1120 2.9330 -1.6926
Y 2.6271 1.8140 4.8693
Y 2.4549 1.6947 1.1409
Y 0.9589 4.9935 5.1861
Sm -1.4300 3.3444 4.8558
Sc -2.0249 2.9333 -0.0002
Y 6.0187 1.7910 3.6492
Y 0.7868 4.8743 1.4576
Sc 0.0000 0.0000 0.0000
Y 3.8082 4.9933 3.6489
Y -2.6049 4.8972 2.6778
Y -0.3943 1.6949 2.6781
Sc 3.1369 -0.0002 -1.6924